Entry from Alexandria: an optimized crystal structure of NdSbN (PBE).

Lattice parameters (Å, degrees): 3.6059 3.6059 12.2670 105.22 105.22 89.97
Last column: nearest neighbours and their distance in Å.
Fractional coordinates of all 6 atoms:
Sb  0.3093  0.3093  0.5669  4 Sb 2.97
Sb  0.6907  0.6907  0.4331  4 Sb 2.97
Nd  0.6500  0.6500  0.8875  5 N 2.36-2.56
Nd  0.3500  0.3500  0.1125  5 N 2.36-2.56
N  0.1651  0.1651  0.9054  5 Nd 2.36-2.56
N  0.8349  0.8349  0.0946  5 Nd 2.36-2.56

**Energy relative to the elements, uncorrected**: -0.692 eV/atom
**V**: 148.1 Å³/cell
**Total DFT energy (no corrections)**: -38.59 eV per cell